# RbSeF PBE optimized geometry
# Calculated density (g cm⁻³): 3.7
# Energy above the lowest structure with this stoichiometry (kJ/mol of formula units): 0
# Fermi-level density of states (states/eV/f.u.): 0.40
# Energy relative to the elements, uncorrected (meV/atom): -1609
# Calculated total energy (eV/atom): -3.717
# Spin magnetization (μB/f.u.): 0.0
data_RbSeF
_cell_length_a 4.0711
_cell_length_b 4.5823
_cell_length_c 9.8187
_cell_angle_alpha 83.83
_cell_angle_beta 88.59
_cell_angle_gamma 65.97
_symmetry_space_group_name_H-M 'P 1'
_symmetry_Int_Tables_number 1
loop_
_symmetry_equiv_pos_as_xyz
'x,y,z'
loop_
_atom_site_label
_atom_site_type_symbol
_atom_site_fract_x
_atom_site_fract_y
_atom_site_fract_z
Rb1 Rb 0.0000 0.0000 0.0000
Rb2 Rb 0.3024 0.3928 0.3154
Se1 Se 0.0212 0.9025 0.6154
Se2 Se 0.6480 0.6524 0.7104
F1 F 0.3184 0.4048 0.9193
F2 F 0.6210 0.7917 0.2310

***

# Rb3SeF PBE optimized geometry
# Calculated density (g cm⁻³): 3.6
# Energy above the lowest structure with this stoichiometry (kJ/mol of formula units): 0
# Fermi-level density of states (states/eV/f.u.): 0.00
# Energy relative to the elements, uncorrected (meV/atom): -1668
# Calculated total energy (eV/atom): -3.320
# Spin magnetization (μB/f.u.): 0.0
data_Rb3SeF
_cell_length_a 5.4558
_cell_length_b 5.4558
_cell_length_c 5.4558
_cell_angle_alpha 90.00
_cell_angle_beta 90.00
_cell_angle_gamma 90.00
_symmetry_space_group_name_H-M 'P 1'
_symmetry_Int_Tables_number 1
loop_
_symmetry_equiv_pos_as_xyz
'x,y,z'
loop_
_atom_site_label
_atom_site_type_symbol
_atom_site_fract_x
_atom_site_fract_y
_atom_site_fract_z
Rb1 Rb 0.0000 0.0000 0.5000
Rb2 Rb 0.0000 0.5000 0.0000
Rb3 Rb 0.5000 0.0000 0.0000
Se1 Se 0.5000 0.5000 0.5000
F1 F 0.0000 0.0000 0.0000

***

# Rb4SeF PBE optimized geometry
# Calculated density (g cm⁻³): 2.8
# Fermi-level density of states (states/eV/f.u.): 1.98
# Energy relative to the elements, uncorrected (meV/atom): -1320
# Calculated total energy (eV/atom): -2.858
# Spin magnetization (μB/f.u.): 0.0
data_Rb4SeF
_cell_length_a 5.9004
_cell_length_b 5.5537
_cell_length_c 8.6064
_cell_angle_alpha 90.00
_cell_angle_beta 110.02
_cell_angle_gamma 90.00
_symmetry_space_group_name_H-M 'P 1'
_symmetry_Int_Tables_number 1
loop_
_symmetry_equiv_pos_as_xyz
'x,y,z'
loop_
_atom_site_label
_atom_site_type_symbol
_atom_site_fract_x
_atom_site_fract_y
_atom_site_fract_z
Rb1 Rb 0.0000 0.0000 0.0000
Rb2 Rb 0.2155 0.5000 0.4293
Rb3 Rb 0.4874 0.5000 0.9748
Rb4 Rb 0.7653 0.0000 0.5289
Se1 Se 0.3626 0.0000 0.7241
F1 F 0.0428 0.5000 0.0858

***

# Rb2SeF4 PBE optimized geometry
# Calculated density (g cm⁻³): 3.4
# Fermi-level density of states (states/eV/f.u.): 0.00
# Energy relative to the elements, uncorrected (meV/atom): -2175
# Calculated total energy (eV/atom): -4.019
# Spin magnetization (μB/f.u.): 0.0
data_Rb2SeF4
_cell_length_a 5.9737
_cell_length_b 5.9737
_cell_length_c 5.9737
_cell_angle_alpha 115.22
_cell_angle_beta 115.22
_cell_angle_gamma 98.50
_symmetry_space_group_name_H-M 'P 1'
_symmetry_Int_Tables_number 1
loop_
_symmetry_equiv_pos_as_xyz
'x,y,z'
loop_
_atom_site_label
_atom_site_type_symbol
_atom_site_fract_x
_atom_site_fract_y
_atom_site_fract_z
Rb1 Rb 0.2500 0.7500 0.5000
Rb2 Rb 0.7500 0.2500 0.5000
Se1 Se 0.0000 0.0000 0.0000
F1 F 0.2242 0.2242 0.4483
F2 F 0.2242 0.7758 0.0000
F3 F 0.7758 0.2242 0.0000
F4 F 0.7758 0.7758 0.5517

***

Number 2 is which compound?
Rb3SeF

***

What is the formula in the first record?
RbSeF

***

Which formula does entry 1 have?
RbSeF

***

Copy entry 4 word for word.
# Rb2SeF4 PBE optimized geometry
# Calculated density (g cm⁻³): 3.4
# Fermi-level density of states (states/eV/f.u.): 0.00
# Energy relative to the elements, uncorrected (meV/atom): -2175
# Calculated total energy (eV/atom): -4.019
# Spin magnetization (μB/f.u.): 0.0
data_Rb2SeF4
_cell_length_a 5.9737
_cell_length_b 5.9737
_cell_length_c 5.9737
_cell_angle_alpha 115.22
_cell_angle_beta 115.22
_cell_angle_gamma 98.50
_symmetry_space_group_name_H-M 'P 1'
_symmetry_Int_Tables_number 1
loop_
_symmetry_equiv_pos_as_xyz
'x,y,z'
loop_
_atom_site_label
_atom_site_type_symbol
_atom_site_fract_x
_atom_site_fract_y
_atom_site_fract_z
Rb1 Rb 0.2500 0.7500 0.5000
Rb2 Rb 0.7500 0.2500 0.5000
Se1 Se 0.0000 0.0000 0.0000
F1 F 0.2242 0.2242 0.4483
F2 F 0.2242 0.7758 0.0000
F3 F 0.7758 0.2242 0.0000
F4 F 0.7758 0.7758 0.5517